# LaPmHo3Er

An optimized crystal structure of LaPmHo3Er (PBE, Alexandria via LeMat-Bulk).

Cell lengths 19.7156, 5.6469, 7.1037 Å; angles 90.00, 90.61, 90.00 degrees
Closest atoms and distances in Å follow each position.
Space group C2/m (No. 12)
Inequivalent atoms, fractional coordinates:
1 La 0.1452 0.0000 0.0312  1 Er 3.04, 2 Ho 3.18-3.31
2 Pm 0.0522 0.5000 0.2698  3 Ho 3.19-3.32
3 Ho 0.0233 0.0000 0.7344  1 La 3.18, 2 Pm 3.19, 1 Er 3.20, 1 Ho 3.45
4 Ho 0.1647 0.5000 0.7277  2 Er 3.42, 2 La 3.58, 4 Ho 3.62-3.82
5 Ho 0.2205 0.5000 0.2441  3 Er 3.29-3.50, 3 La 3.31-3.52, 1 Pm 3.32, 3 Ho 3.62
6 Er 0.1505 0.0000 0.4588  1 La 3.04, 2 Ho 3.20-3.29

Properties
total magnetization	0.0	μB per formula unit
E	-107.17	eV per cell

# La5PmHo2Er

An optimized crystal structure of La5PmHo2Er (PBE, Alexandria via LeMat-Bulk).

Cell lengths 5.5076, 21.7247, 10.6723 Å; angles 90.00, 90.00, 90.00 degrees
Closest atoms and distances in Å follow each position.
Space group Cmcm (No. 63)
Inequivalent atoms, fractional coordinates:
1 La 0.0000 0.0000 0.0000  2 Er 3.45, 4 Ho 3.68, 6 La 3.78-3.83
2 La 0.0000 0.1232 0.2500  1 Pm 3.58, 6 La 3.78-3.93, 4 Ho 3.85
3 La 0.0000 0.2208 0.5600  2 La 3.29, 1 Er 3.31, 3 Pm 3.42-3.62, 3 Ho 3.68
4 La 0.0000 0.4987 0.2500  2 Er 3.50, 4 Ho 3.59-3.64, 6 La 3.83-3.86
5 Pm 0.0000 0.2879 0.2500  7 La 3.42-3.62, 2 Ho 3.43, 2 Er 3.67
6 Ho 0.0000 0.3876 0.0007  1 Pm 3.43, 7 La 3.59-3.68, 2 Er 3.84
7 Er 0.0000 0.1004 0.7500  6 La 3.31-3.50, 2 Pm 3.67

Properties
total magnetization	0.0	μB per formula unit
E	-167.85	eV per cell

# La2Pm3HoEr6

An optimized crystal structure of La2Pm3HoEr6 (PBE, Alexandria via LeMat-Bulk).

Cell lengths 6.2241, 10.7781, 11.7881 Å; angles 90.00, 100.11, 90.00 degrees
Closest atoms and distances in Å follow each position.
Space group C2/m (No. 12)
Inequivalent atoms, fractional coordinates:
1 La 0.0000 0.1662 0.0000  6 Er 3.58, 3 La 3.58-3.60, 3 Ho 3.59-3.60
2 Pm 0.0000 0.0000 0.5000  6 Er 3.55-3.56, 6 Pm 3.59
3 Pm 0.0000 0.3332 0.5000  6 Er 3.55-3.56, 6 Pm 3.59-3.60
4 Ho 0.0000 0.5000 0.0000  6 Er 3.58, 6 La 3.59-3.60
5 Er 0.2481 0.5000 0.7484  3 Pm 3.55-3.56, 1 Ho 3.58, 6 Er 3.58-3.60, 2 La 3.58
6 Er 0.2499 0.1662 0.7487  3 Pm 3.55-3.56, 1 Ho 3.58, 2 La 3.58, 6 Er 3.58-3.60

Properties
total magnetization	0.0	μB per formula unit
E	-111.71	eV per cell

# LaPm2HoEr2

An optimized crystal structure of LaPm2HoEr2 (PBE, Alexandria via LeMat-Bulk).

Cell lengths 6.9778, 16.3281, 3.5318 Å; angles 90.00, 90.00, 90.00 degrees
Closest atoms and distances in Å follow each position.
Space group Pnnm (No. 58)
Inequivalent atoms, fractional coordinates:
1 La 0.0000 0.0000 0.0000  2 Ho 3.49, 4 Er 3.53, 2 La 3.53, 4 Pm 3.63
2 Pm 0.2465 0.3390 0.0000  4 Er 3.47-3.51, 2 Pm 3.53, 2 Ho 3.60, 2 La 3.63
3 Ho 0.0000 0.5000 0.5000  2 La 3.49, 2 Ho 3.53, 4 Er 3.53, 4 Pm 3.60
4 Er 0.2493 0.1537 0.5000  4 Pm 3.47-3.51, 2 La 3.53, 2 Er 3.53, 2 Ho 3.53

Properties
total magnetization	0.0	μB per formula unit
E	-54.41	eV per cell

# La2Pm6Ho3Er

An optimized crystal structure of La2Pm6Ho3Er (PBE, Alexandria via LeMat-Bulk).

Cell lengths 6.2836, 10.8856, 12.0027 Å; angles 90.00, 100.11, 90.00 degrees
Closest atoms and distances in Å follow each position.
Space group C2/m (No. 12)
Inequivalent atoms, fractional coordinates:
1 La 0.0000 0.1668 0.0000  3 La 3.63, 3 Er 3.63, 6 Pm 3.67
2 Pm 0.2468 0.5000 0.7451  3 Ho 3.57-3.58, 6 Pm 3.61-3.64, 1 Er 3.66, 2 La 3.67
3 Pm 0.2491 0.1659 0.7453  3 Ho 3.57-3.58, 6 Pm 3.61-3.64, 1 Er 3.66, 2 La 3.67
4 Ho 0.0000 0.0000 0.5000  6 Pm 3.57-3.58, 6 Ho 3.63
5 Ho 0.0000 0.3338 0.5000  6 Pm 3.57-3.58, 6 Ho 3.62-3.63
6 Er 0.0000 0.5000 0.0000  6 La 3.63, 6 Pm 3.66

Properties
total magnetization	0.0	μB per formula unit
E	-112.83	eV per cell

# LaPm5Ho2Er

An optimized crystal structure of LaPm5Ho2Er (PBE, Alexandria via LeMat-Bulk).

Cell lengths 5.7049, 20.1890, 10.6508 Å; angles 90.00, 90.00, 90.00 degrees
Closest atoms and distances in Å follow each position.
Space group Cmc2_1 (No. 36)
Inequivalent atoms, fractional coordinates:
1 La 0.0000 0.0841 0.0000  5 Pm 3.08-3.33
2 Pm 0.0000 0.0196 0.2880  2 La 3.08-3.33
3 Pm 0.0000 0.1157 0.5706  6 Pm 3.58-3.92, 4 Ho 3.59-3.63, 1 Er 3.74
4 Pm 0.0000 0.2034 0.2548  4 Pm 3.45-3.80, 3 Er 3.53-3.79, 3 Ho 3.57-3.71, 1 La 3.63
5 Pm 0.0000 0.2195 0.8626  1 La 3.10, 1 Ho 3.34, 2 Pm 3.45
6 Pm 0.0000 0.4827 0.5704  2 La 3.24, 2 Ho 3.45-3.46
7 Ho 0.0000 0.3848 0.8660  9 Pm 3.34-3.72, 1 Er 3.68
8 Ho 0.0000 0.3866 0.2812  1 Er 3.43, 7 Pm 3.46-3.71, 2 La 3.73
9 Er 0.0000 0.3008 0.5593  2 Ho 3.43-3.68, 8 Pm 3.53-3.79, 2 La 3.73

Properties
total magnetization	0.0	μB per formula unit
E	-164.11	eV per cell

# La2PmHo2Er

An optimized crystal structure of La2PmHo2Er (PBE, Alexandria via LeMat-Bulk).

Cell lengths 5.7163, 9.9538, 7.0712 Å; angles 90.00, 90.00, 90.00 degrees
Closest atoms and distances in Å follow each position.
Space group Pmc2_1 (No. 26)
Inequivalent atoms, fractional coordinates:
1 La 0.0000 0.0003 0.0000  6 La 3.54-3.76, 6 Ho 3.75-3.78, 2 Er 3.79-3.80
2 La 0.5000 0.1703 0.2502  5 Ho 3.29-3.54
3 Pm 0.5000 0.4998 0.9996  2 Pm 3.54, 2 La 3.73, 4 Er 3.73, 6 Ho 3.74-3.75
4 Ho 0.0000 0.3347 0.2496  3 Er 3.26-3.54, 2 La 3.29
5 Ho 0.5000 0.1676 0.7500  2 Er 3.32, 3 La 3.36-3.54
6 Er 0.0000 0.3374 0.7495  5 Ho 3.26-3.54

Properties
total magnetization	0.0	μB per formula unit
E	-55.78	eV per cell

# La2PmHo6Er3

An optimized crystal structure of La2PmHo6Er3 (PBE, Alexandria via LeMat-Bulk).

Cell lengths 6.1881, 10.7153, 11.8031 Å; angles 90.00, 100.06, 90.00 degrees
Closest atoms and distances in Å follow each position.
Space group C2/m (No. 12)
Inequivalent atoms, fractional coordinates:
1 La 0.0000 0.1666 0.0000  3 La 3.57, 3 Pm 3.57, 6 Ho 3.62
2 Pm 0.0000 0.5000 0.0000  6 La 3.57, 6 Ho 3.61-3.62
3 Ho 0.2465 0.5000 0.7441  3 Er 3.50-3.51, 6 Ho 3.57-3.58, 1 Pm 3.61, 2 La 3.62
4 Ho 0.2475 0.1664 0.7441  3 Er 3.51, 6 Ho 3.57-3.58, 2 La 3.62, 1 Pm 3.62
5 Er 0.0000 0.0000 0.5000  6 Ho 3.51, 6 Er 3.57
6 Er 0.0000 0.3335 0.5000  6 Ho 3.50-3.51, 6 Er 3.57

Properties
total magnetization	0.0	μB per formula unit
E	-110.93	eV per cell

# La5Pm2HoEr

An optimized crystal structure of La5Pm2HoEr (PBE, Alexandria via LeMat-Bulk).

Cell lengths 8.5895, 8.5895, 17.5112 Å; angles 90.00, 90.00, 90.00 degrees
Closest atoms and distances in Å follow each position.
Space group I4/mcm (No. 140)
Inequivalent atoms, fractional coordinates:
1 La 0.0000 0.0000 0.0000  4 Pm 3.40
2 La 0.2201 0.2799 0.1431  1 Pm 3.14, 1 Er 3.26
3 Pm 0.1245 0.3755 0.5000  1 Pm 3.02, 2 La 3.14
4 Ho 0.0000 0.0000 0.2500  8 La 3.59
5 Er 0.0000 0.5000 0.2500  4 La 3.26

Properties
total magnetization	0.0	μB per formula unit
E	-163.26	eV per cell

# LaPm2Ho2Er2

An optimized crystal structure of LaPm2Ho2Er2 (PBE, Alexandria via LeMat-Bulk).

Cell lengths 3.5369, 5.7024, 23.1544 Å; angles 90.00, 90.00, 90.00 degrees
Closest atoms and distances in Å follow each position.
Space group Immm (No. 71)
Inequivalent atoms, fractional coordinates:
1 La 0.0000 0.0000 0.0000  4 Pm 3.53, 2 La 3.54, 4 Er 3.69
2 Pm 0.0000 0.5000 0.0902  2 La 3.53, 2 Pm 3.54, 4 Er 3.55, 2 Ho 3.61
3 Ho 0.0000 0.0000 0.2737  4 Er 3.48-3.56, 6 Ho 3.53-3.54, 2 Pm 3.61
4 Er 0.0000 0.5000 0.3600  4 Ho 3.48-3.56, 2 Er 3.54, 4 Pm 3.55, 2 La 3.69

Properties
total magnetization	0.0	μB per formula unit
E	-64.32	eV per cell

# La2Pm4HoEr

An optimized crystal structure of La2Pm4HoEr (PBE, Alexandria via LeMat-Bulk).

Cell lengths 13.8000, 13.3575, 6.9192 Å; angles 90.00, 119.69, 90.00 degrees
Closest atoms and distances in Å follow each position.
Space group C2/c (No. 15)
Inequivalent atoms, fractional coordinates:
1 La 0.0000 0.0000 0.0000  6 Pm 3.34-3.66, 2 La 3.46
2 La 0.2500 0.2500 0.0000  6 Pm 3.37-3.57, 2 Er 3.46
3 Pm 0.0089 0.2537 0.0110  1 Ho 3.29, 3 La 3.37-3.57, 2 Er 3.37-3.54, 2 Pm 3.44-3.50
4 Pm 0.2474 0.4965 0.4528  2 Ho 3.30-3.59, 1 Er 3.31, 3 La 3.34-3.66, 2 Pm 3.46
5 Ho 0.0000 0.5000 0.0000  6 Pm 3.29-3.59, 2 Ho 3.46
6 Er 0.2500 0.2500 0.5000  6 Pm 3.31-3.54, 2 La 3.46

Properties
total magnetization	0.0	μB per formula unit
E	-140.10	eV per cell

# La2Pm4HoEr2

An optimized crystal structure of La2Pm4HoEr2 (PBE, Alexandria via LeMat-Bulk).

Cell lengths 18.9573, 3.6673, 9.7107 Å; angles 90.00, 115.72, 90.00 degrees
Closest atoms and distances in Å follow each position.
Space group C2/m (No. 12)
Inequivalent atoms, fractional coordinates:
1 La 0.1655 0.0000 0.4977  3 Pm 3.59-3.62, 3 Er 3.60-3.64, 2 Ho 3.64, 4 La 3.67-3.68
2 Pm 0.0191 0.0000 0.8363  5 Pm 3.55-3.67, 4 Er 3.57-3.65, 1 La 3.59, 2 Ho 3.62
3 Pm 0.1862 0.5000 0.8348  6 Pm 3.57-3.67, 3 Er 3.59-3.65, 1 Ho 3.61, 2 La 3.62
4 Ho 0.0000 0.5000 0.5000  6 Pm 3.61-3.62, 4 La 3.64, 2 Ho 3.67
5 Er 0.1474 0.5000 0.1649  7 Pm 3.57-3.65, 3 La 3.60-3.64, 2 Er 3.67

Properties
total magnetization	0.0	μB per formula unit
E	-85.02	eV per cell